# 1
# PBE-GGA SrTaBi2O8, relaxed
data_SrTaBi2O8
_cell_length_a 5.086
_cell_length_b 5.083
_cell_length_c 6.980
_cell_angle_alpha 90.00
_cell_angle_beta 90.00
_cell_angle_gamma 87.82
_space_group_name_H-M_alt 'P 1'
_space_group_IT_number 1
_space_group_name_Hall 'P 1'
loop_
_atom_site_label
_atom_site_fract_x
_atom_site_fract_y
_atom_site_fract_z
Sr1 0.000 0.000 0.500
Ta1 0.000 0.000 0.000
Bi1 0.500 0.500 0.755
Bi2 0.500 0.500 0.245
O1 0.191 0.808 0.206
O2 0.710 0.711 0.000
O3 0.809 0.192 0.206
O4 0.809 0.192 0.794
O5 0.290 0.289 0.000
O6 0.191 0.808 0.794
O7 0.675 0.675 0.500
O8 0.325 0.325 0.500
# Crystal system ... orthorhombic
# Raw formation energy ... -1.793 eV per atom
# Symmetry ... Cmmm (65)
# Total magnetization ... 0.0 μB/cell

# 2
# PBE-GGA SrTbBi2O8, relaxed
data_SrTbBi2O8
_cell_length_a 5.555
_cell_length_b 5.555
_cell_length_c 6.910
_cell_angle_alpha 113.70
_cell_angle_beta 113.70
_cell_angle_gamma 90.00
_space_group_name_H-M_alt 'P 1'
_space_group_IT_number 1
_space_group_name_Hall 'P 1'
loop_
_atom_site_label
_atom_site_fract_x
_atom_site_fract_y
_atom_site_fract_z
Sr1 0.750 0.250 0.500
Tb1 0.000 0.000 0.000
Bi1 0.500 0.500 0.000
Bi2 0.250 0.750 0.500
O1 0.807 0.832 0.185
O2 0.378 0.353 0.185
O3 0.601 0.664 0.702
O4 0.102 0.038 0.702
O5 0.962 0.399 0.298
O6 0.336 0.898 0.298
O7 0.168 0.622 0.815
O8 0.647 0.193 0.815
# Crystal system ... tetragonal
# Raw formation energy ... -1.632 eV per atom
# Symmetry ... I-4 (82)
# Total magnetization ... 1.1 μB/cell

# 3
# PBE-GGA SrTc2BiO8, relaxed
data_SrTc2BiO8
_cell_length_a 5.450
_cell_length_b 5.450
_cell_length_c 7.954
_cell_angle_alpha 69.96
_cell_angle_beta 69.96
_cell_angle_gamma 60.00
_space_group_name_H-M_alt 'P 1'
_space_group_IT_number 1
_space_group_name_Hall 'P 1'
loop_
_atom_site_label
_atom_site_fract_x
_atom_site_fract_y
_atom_site_fract_z
Sr1 0.500 0.500 0.500
Tc1 0.247 0.247 0.260
Tc2 0.753 0.753 0.740
Bi1 0.000 0.000 0.000
O1 0.166 0.166 0.503
O2 0.579 0.296 0.188
O3 0.834 0.834 0.497
O4 0.936 0.579 0.188
O5 0.064 0.421 0.812
O6 0.296 0.936 0.188
O7 0.704 0.064 0.812
O8 0.421 0.704 0.812
# Crystal system ... trigonal
# Raw formation energy ... -1.487 eV per atom
# Symmetry ... R-3 (148)
# Total magnetization ... 3.0 μB/cell

# 4
# PBE-GGA Sr2TcBiO6, relaxed
data_Sr2TcBiO6
_cell_length_a 4.835
_cell_length_b 5.840
_cell_length_c 5.840
_cell_angle_alpha 90.00
_cell_angle_beta 90.00
_cell_angle_gamma 90.00
_space_group_name_H-M_alt 'P 1'
_space_group_IT_number 1
_space_group_name_Hall 'P 1'
loop_
_atom_site_label
_atom_site_fract_x
_atom_site_fract_y
_atom_site_fract_z
Sr1 0.021 0.500 0.000
Sr2 0.021 0.000 0.500
Tc1 0.601 0.000 0.000
Bi1 0.592 0.500 0.500
O1 0.712 0.228 0.228
O2 0.712 0.228 0.772
O3 0.141 0.500 0.500
O4 0.223 0.000 0.000
O5 0.712 0.772 0.772
O6 0.712 0.772 0.228
# Crystal system ... tetragonal
# Raw formation energy ... -1.899 eV per atom
# Symmetry ... P4mm (99)
# Total magnetization ... 2.0 μB/cell